# Ba2VInO (GGA+U, optimized geometry)
# * ρ: 3.94 g/cm3
# * electronic total energy: -15.6 eV for the cell shown
data_Ba2VInO
_space_group_name_H-M_alt 'P 1'
_space_group_IT_number 1
_cell_length_a 6.744
_cell_length_b 6.744
_cell_length_c 4.229
_cell_angle_alpha 90.00
_cell_angle_beta 90.00
_cell_angle_gamma 90.00
loop_
_space_group_symop_operation_xyz
'x,y,z'
loop_
_atom_site_label
_atom_site_type_symbol
_atom_site_fract_x
_atom_site_fract_y
_atom_site_fract_z
Ba1 Ba 0.000 0.500 0.000
Ba2 Ba 0.500 0.000 0.000
V1 V 0.000 0.000 0.500
In1 In 0.500 0.500 0.000
O1 O 0.500 0.500 0.500